# PBE CrSiIr2, optimized geometry
data_CrSiIr2
_space_group_name_H-M_alt 'P 4/m m m'
_space_group_IT_number 123
_space_group_name_Hall '-P 4 2'
_cell_length_a 3.971
_cell_length_b 3.971
_cell_length_c 3.468
_cell_angle_alpha 90.00
_cell_angle_beta 90.00
_cell_angle_gamma 90.00
loop_
_atom_site_label
_atom_site_fract_x
_atom_site_fract_y
_atom_site_fract_z
Cr1 0.000 0.000 0.000
Si1 0.500 0.500 0.000
Ir1 0.000 0.500 0.500
# * E_form (uncorrected): -0.320 eV/atom
# * DOS at the Fermi energy: 0.713 states/eV/atom
# * theoretical density: 14.1 g/cm3

=====

# PBE CrSiIr2, optimized geometry
data_CrSiIr2
_space_group_name_H-M_alt 'P 4 m m'
_space_group_IT_number 99
_space_group_name_Hall 'P 4 -2'
_cell_length_a 2.807
_cell_length_b 2.807
_cell_length_c 6.691
_cell_angle_alpha 90.00
_cell_angle_beta 90.00
_cell_angle_gamma 90.00
loop_
_atom_site_label
_atom_site_fract_x
_atom_site_fract_y
_atom_site_fract_z
Cr1 0.000 0.000 0.000
Si1 0.500 0.500 0.774
Ir1 0.000 0.000 0.557
Ir2 0.500 0.500 0.244
# * E_form (uncorrected): -0.293 eV/atom
# * DOS at the Fermi energy: 0.806 states/eV/atom
# * theoretical density: 14.6 g/cm3

=====

# PBE CrSiIr2, optimized geometry
data_CrSiIr2
_space_group_name_H-M_alt 'I -4 2 d'
_space_group_IT_number 122
_space_group_name_Hall 'I -4 2bw'
_cell_length_a 5.333
_cell_length_b 5.333
_cell_length_c 10.830
_cell_angle_alpha 90.00
_cell_angle_beta 90.00
_cell_angle_gamma 90.00
loop_
_atom_site_label
_atom_site_fract_x
_atom_site_fract_y
_atom_site_fract_z
Cr1 0.000 0.000 0.000
Si1 0.000 0.000 0.500
Ir1 0.247 0.250 0.125
# * E_form (uncorrected): 0.363 eV/atom
# * DOS at the Fermi energy: 0.541 states/eV/atom
# * theoretical density: 10.0 g/cm3

=====

# PBE CrSiIr2, optimized geometry
data_CrSiIr2
_space_group_name_H-M_alt 'F -4 3 m'
_space_group_IT_number 216
_space_group_name_Hall 'F -4 2 3'
_cell_length_a 6.017
_cell_length_b 6.017
_cell_length_c 6.017
_cell_angle_alpha 90.00
_cell_angle_beta 90.00
_cell_angle_gamma 90.00
loop_
_atom_site_label
_atom_site_fract_x
_atom_site_fract_y
_atom_site_fract_z
Cr1 0.000 0.000 0.000
Si1 0.250 0.250 0.750
Ir1 0.000 0.000 0.500
Ir2 0.250 0.250 0.250
# * E_form (uncorrected): 0.043 eV/atom
# * DOS at the Fermi energy: 1.145 states/eV/atom
# * theoretical density: 14.2 g/cm3

=====

# PBE Cr2SiIr, optimized geometry
data_Cr2SiIr
_space_group_name_H-M_alt 'I -4 2 d'
_space_group_IT_number 122
_space_group_name_Hall 'I -4 2bw'
_cell_length_a 6.680
_cell_length_b 6.680
_cell_length_c 4.952
_cell_angle_alpha 90.00
_cell_angle_beta 90.00
_cell_angle_gamma 90.00
loop_
_atom_site_label
_atom_site_fract_x
_atom_site_fract_y
_atom_site_fract_z
Cr1 0.246 0.750 0.125
Si1 0.000 0.000 0.000
Ir1 0.000 0.000 0.500
# * E_form (uncorrected): 0.401 eV/atom
# * DOS at the Fermi energy: 1.156 states/eV/atom
# * theoretical density: 9.7 g/cm3

=====

# PBE CrSiIr2, optimized geometry
data_CrSiIr2
_space_group_name_H-M_alt 'C 1 2/m 1'
_space_group_IT_number 12
_space_group_name_Hall '-C 2y'
_cell_length_a 5.435
_cell_length_b 8.622
_cell_length_c 2.769
_cell_angle_alpha 90.00
_cell_angle_beta 119.51
_cell_angle_gamma 90.00
loop_
_atom_site_label
_atom_site_fract_x
_atom_site_fract_y
_atom_site_fract_z
Cr1 0.000 0.000 0.000
Si1 0.000 0.500 0.000
Ir1 0.250 0.250 0.500
# * E_form (uncorrected): 0.011 eV/atom
# * DOS at the Fermi energy: 1.450 states/eV/atom
# * theoretical density: 13.7 g/cm3

=====

# PBE Cr2SiIr, optimized geometry
data_Cr2SiIr
_space_group_name_H-M_alt 'P 4 m m'
_space_group_IT_number 99
_space_group_name_Hall 'P 4 -2'
_cell_length_a 2.909
_cell_length_b 2.909
_cell_length_c 5.888
_cell_angle_alpha 90.00
_cell_angle_beta 90.00
_cell_angle_gamma 90.00
loop_
_atom_site_label
_atom_site_fract_x
_atom_site_fract_y
_atom_site_fract_z
Cr1 0.000 0.000 0.000
Cr2 0.500 0.500 0.213
Si1 0.500 0.500 0.765
Ir1 0.000 0.000 0.516
# * E_form (uncorrected): -0.254 eV/atom
# * DOS at the Fermi energy: 0.596 states/eV/atom
# * theoretical density: 10.8 g/cm3

=====

# PBE Cr2SiIr, optimized geometry
data_Cr2SiIr
_space_group_name_H-M_alt 'I -4 m 2'
_space_group_IT_number 119
_space_group_name_Hall 'I -4 -2'
_cell_length_a 3.783
_cell_length_b 3.783
_cell_length_c 7.306
_cell_angle_alpha 90.00
_cell_angle_beta 90.00
_cell_angle_gamma 90.00
loop_
_atom_site_label
_atom_site_fract_x
_atom_site_fract_y
_atom_site_fract_z
Cr1 0.000 0.000 0.000
Cr2 0.000 0.500 0.250
Si1 0.000 0.000 0.500
Ir1 0.000 0.500 0.750
# * E_form (uncorrected): -0.263 eV/atom
# * DOS at the Fermi energy: 0.799 states/eV/atom
# * theoretical density: 10.3 g/cm3